DFT (PBE) results for a geometry-optimized LaPmPr structure.

## Properties
Offset from the most stable computed form = 0.0062 eV/atom
Total energy = -4.801 eV/atom
Formation enthalpy at 0 K = 0.4 kcal/mol of atoms
ρ = 6.53 g/cm³

Lattice parameters (Å, degrees): 8.2866 8.2866 8.2866 154.14 154.14 36.89
Sites, in units of the cell vectors:
La 0.0000 0.0000 0.0000
Pm 0.6663 0.6663 0.0000
Pr 0.3308 0.3308 0.0000